PuPtPbO6 | GGA-PBE | relaxed

M_tot ... 4.0 Bohr magnetons per cell
Raw total energy ... -135.34 eV per cell
Formation energy without anion corrections ... -1.54 eV/atom

```
PuPtPbO6
1.0
-2.209 2.971 -3.895
3.720 -3.684 -1.212
-7.989 -7.640 -1.295
O Pt Pu Pb
12 2 2 2
Direct
0.637 0.644 0.147
0.356 0.363 0.353
0.007 0.363 0.147
0.007 0.644 0.353
0.993 0.356 0.647
0.356 0.993 0.147
0.993 0.637 0.853
0.644 0.637 0.647
0.363 0.356 0.853
0.363 0.007 0.647
0.637 0.993 0.353
0.644 0.007 0.853
0.333 0.667 0.250
0.667 0.333 0.750
0.667 0.333 0.250
0.333 0.667 0.750
0.000 0.000 0.000
0.000 0.000 0.500
```